Record 1
This record from Alexandria describes an optimized crystal structure of Y2AuO. The functional is PBE.

Structure (POSCAR):
```
Y2AuO
1.0
3.4883 0.0000 0.0000
1.7441 3.0209 0.0000
1.7441 1.0070 8.3259
Y Au O
2 1 1
Cartesian
1.7441 1.0070 5.4971
5.2324 3.0209 2.8288
0.0000 0.0000 0.0000
3.4883 2.0139 4.1629
```

Energy ... -25.868 eV for the cell shown


Record 2
This record from Alexandria describes an optimized crystal structure of SrNdSn. The functional is PBE.

Structure (POSCAR):
```
SrNdSn
1.0
-1.6527 -4.8233 2.5051
4.7547 2.5868 1.7243
-3.7505 3.7413 4.7292
Sr Sn Nd
2 2 2
Cartesian
-2.3266 0.4564 5.7913
1.6781 1.0484 3.1672
-0.1870 2.9309 5.5306
-0.4616 -1.4261 3.4280
0.0000 0.0000 0.0000
-1.8753 1.8707 2.3646
```

Formation energy from the elements ... -462.8 meV per atom
Energy ... -23.682 eV for the cell shown


Record 3
This record from Alexandria describes an optimized crystal structure of Ce2TmTe2S2. The functional is PBE.

Structure (POSCAR):
```
Ce2TmTe2S2
1.0
-1.0944 0.5861 -4.8769
3.5190 -3.3925 -1.1974
-6.7022 -4.4769 3.5625
Ce Tm Te S
2 1 2 2
Cartesian
-4.2166 -4.5163 0.4035
-0.0610 -2.7670 -2.9153
0.0000 0.0000 0.0000
-2.0258 -2.1697 0.1939
-2.2519 -5.1136 -2.7057
1.7595 -1.6962 -0.5987
-0.5472 0.2930 -2.4385
```

Energy ... -41.647 eV for the cell shown


Record 4
This record from Alexandria describes an optimized crystal structure of Ti4Ir3Os. The functional is PBE.

Structure (POSCAR):
```
Ti4Ir3Os
1.0
3.1704 0.0000 0.0000
0.0000 3.1704 0.0000
0.0000 0.0000 11.9688
Ir Os Ti
3 1 4
Cartesian
1.5852 1.5852 3.0142
1.5852 1.5852 5.9844
1.5852 1.5852 8.9546
1.5852 1.5852 0.0000
0.0000 0.0000 10.4705
0.0000 0.0000 1.4983
0.0000 0.0000 4.4919
0.0000 0.0000 7.4768
```

Formation energy from the elements ... -773.7 meV per atom
Energy ... -75.582 eV for the cell shown


Record 5
This record from Alexandria describes an optimized crystal structure of KBeP. The functional is PBE.

Structure (POSCAR):
```
KBeP
1.0
5.7208 0.0000 -0.0004
0.0000 3.7409 0.0000
-1.7314 0.0000 6.7862
P K Be
2 2 2
Cartesian
3.2664 0.9352 5.3832
0.7230 2.8057 1.4026
3.3847 0.9352 2.0586
0.6047 2.8057 4.7271
0.3697 0.9352 0.4461
3.6198 2.8057 6.3396
```

Formation energy from the elements ... -449.1 meV per atom
Energy ... -23.162 eV for the cell shown


Record 6
This record from Alexandria describes an optimized crystal structure of SmErCd. The functional is PBE.

Structure (POSCAR):
```
SmErCd
1.0
-1.5439 -2.4203 -2.0241
2.6225 0.2287 -2.2738
5.6336 -10.3769 8.1148
Sm Er Cd
2 2 2
Cartesian
1.3719 -2.6053 -1.3405
3.5156 -5.7722 0.8135
4.8890 -9.8602 4.6472
5.7851 -6.7813 3.3296
1.9116 -3.1017 1.8929
7.9915 -10.0397 5.5467
```

Formation energy from the elements ... -112.5 meV per atom
Energy ... -21.069 eV for the cell shown
Polymorph energy (0 for the lowest one) ... 79 meV per atom